DFT (GGA-PBEsol) results for a relaxed KMg2Ir crystal.

Summary:
D(E_F): 2.3 states/eV/f.u.
electronic total energy: -3.41 eV per atom
space-group type: Pmm2, No. 25
density: 4.7 Mg/m³
magnetic moment: 0.0 μB/f.u.

a = 3.007 Å, b = 4.075 Å, c = 8.068 Å
α = 90.00°, β = 90.00°, γ = 90.00°
Fractional positions:
Ir (0.000, 0.000, 0.401)
Mg (0.000, 0.000, 0.082)
Mg (0.500, 0.500, 0.312)
K (0.500, 0.500, 0.706)

DFT (GGA-PBEsol) results for a relaxed KMg2Ir crystal.

Summary:
D(E_F): 1.8 states/eV/f.u.
electronic total energy: -3.39 eV per atom
space-group type: Cm, No. 8
density: 4.2 Mg/m³
magnetic moment: 0.0 μB/f.u.

a = 3.101 Å, b = 4.896 Å, c = 8.068 Å
α = 106.21°, β = 90.00°, γ = 108.46°
Fractional positions:
Mg (0.199, 0.399, 0.656)
Mg (0.997, 0.993, 0.907)
K (0.833, 0.665, 0.288)
Ir (0.472, 0.943, 0.648)

DFT (GGA-PBEsol) results for a relaxed KMgIr2 crystal.

Summary:
D(E_F): 3.2 states/eV/f.u.
electronic total energy: -4.71 eV per atom
space-group type: P4/mmm, No. 123
density: 9.8 Mg/m³
magnetic moment: 0.0 μB/f.u.

a = 2.530 Å, b = 5.474 Å, c = 5.474 Å
α = 90.00°, β = 90.00°, γ = 90.00°
Fractional positions:
Ir (0.000, 0.500, 0.000)
Ir (0.000, 0.000, 0.500)
K (0.500, 0.500, 0.500)
Mg (0.500, 0.000, 0.000)

DFT (GGA-PBEsol) results for a relaxed KMgIr2 crystal.

Summary:
D(E_F): 5.3 states/eV/f.u.
electronic total energy: -4.82 eV per atom
space-group type: P4/mmm, No. 123
density: 10.7 Mg/m³
magnetic moment: 0.0 μB/f.u.

a = 3.928 Å, b = 3.928 Å, c = 4.526 Å
α = 90.00°, β = 90.00°, γ = 90.00°
Fractional positions:
Mg (0.000, 0.000, 0.500)
K (0.500, 0.500, 0.500)
Ir (0.500, 0.000, 0.000)
Ir (0.000, 0.500, 0.000)

DFT (GGA-PBEsol) results for a relaxed KMg2SiIr crystal.

Summary:
energy relative to the elements, uncorrected: 1.9413 eV/atom
D(E_F): 2.8 states/eV/f.u.
space-group type: P4/mmm, No. 123
density: 4.1 Mg/m³
magnetic moment: 0.0 μB/f.u.

a = 4.604 Å, b = 5.201 Å, c = 5.201 Å
α = 90.00°, β = 90.00°, γ = 90.00°
Fractional positions:
K (0.000, 0.000, 0.000)
Mg (0.000, 0.000, 0.500)
Mg (0.000, 0.500, 0.000)
Si (0.500, 0.500, 0.500)
Ir (0.500, 0.000, 0.000)

DFT (GGA-PBEsol) results for a relaxed KMnIr2 crystal.

Summary:
D(E_F): 4.6 states/eV/f.u.
electronic total energy: -6.46 eV per atom
space-group type: P4/mmm, No. 123
density: 11.9 Mg/m³
magnetic moment: 4.1 μB/f.u.

a = 3.922 Å, b = 3.922 Å, c = 4.323 Å
α = 90.00°, β = 90.00°, γ = 90.00°
Each line ends with the local moment (μB).
Fractional positions:
K (0.500, 0.500, 0.500)  0.03
Ir (0.500, 0.000, 0.000)  -0.05
Ir (0.000, 0.500, 0.000)  -0.05
Mn (0.000, 0.000, 0.500)  3.91

DFT (GGA-PBEsol) results for a relaxed KMnIr2 crystal.

Summary:
D(E_F): 5.0 states/eV/f.u.
electronic total energy: -6.94 eV per atom
space-group type: R3m, No. 160
density: 12.5 Mg/m³
magnetic moment: 1.4 μB/f.u.

a = 2.708 Å, b = 2.708 Å, c = 10.116 Å
α = 82.31°, β = 82.31°, γ = 60.00°
Each line ends with the local moment (μB).
Fractional positions:
Ir (0.997, 0.997, 0.010)  -0.09
Ir (0.739, 0.739, 0.782)  -0.04
K (0.499, 0.499, 0.502)  0.00
Mn (0.265, 0.265, 0.206)  1.50

DFT (GGA-PBEsol) results for a relaxed KMnIr2 crystal.

Summary:
D(E_F): 3.5 states/eV/f.u.
electronic total energy: -7.00 eV per atom
space-group type: Cm, No. 8
density: 9.7 Mg/m³
magnetic moment: 3.7 μB/f.u.

a = 2.785 Å, b = 5.236 Å, c = 6.262 Å
α = 109.96°, β = 90.00°, γ = 105.42°
Each line ends with the local moment (μB).
Fractional positions:
Ir (0.001, 0.001, 0.058)  0.04
Ir (0.718, 0.435, 0.084)  0.01
K (0.482, 0.963, 0.518)  0.01
Mn (0.300, 0.600, 0.840)  3.27